The following is a PBE calculation of a relaxed structure of Pa3Tc2B4, from Alexandria via LeMat-Bulk.

abc: 3.1890 7.0700 7.0700
angles: 70.69 76.97 76.97
Atoms (fractional coordinates):
Pa 0.3522 0.1478 0.1478
Pa 0.5000 0.5000 0.5000
Pa 0.6478 0.8522 0.8522
Tc 0.0000 0.7519 0.2481
Tc 0.0000 0.2481 0.7519
B 0.7770 0.9874 0.4586
B 0.2230 0.5414 0.0126
B 0.2230 0.0126 0.5414
B 0.7770 0.4586 0.9874

Calculated values
- M_tot: 0.0 Bohr magnetons per cell
- DOS at the Fermi energy: 7.3 states/eV/cell
- Raw total energy: -8.449 eV per atom